1.
Here is a relaxed ScCd2Pd2 crystal from the Alexandria database. Energies are from PBE-GGA.

Results
As for the space-group type: P2_1/c. For the distance to the lowest polymorph of the same formula, the calculation gives 32.7 meV per atom. Its energy of formation from the pure elements is -2.45 eV per formula unit.

Structure (POSCAR):
```
ScCd2Pd2
1.0
-0.3409 1.6131 -6.6884
2.8858 -5.4323 -1.4573
-7.9201 -4.9146 2.6366
Sc Cd Pd
4 8 8
Cartesian
-1.9542 -2.3438 -2.3722
-3.4210 -6.3900 -3.1369
-2.2054 -1.3851 -5.6757
-3.1698 -7.3487 0.1665
-7.1239 -5.6868 -2.3496
-7.4977 -5.4689 1.2694
2.1225 -3.2649 -6.7786
1.7487 -3.0470 -3.1595
-0.6935 -4.1396 -6.2703
-0.4729 -5.0405 -2.9514
-4.9023 -3.6933 -2.5578
-4.6817 -4.5942 0.7611
-1.4103 0.0712 -3.4828
0.1136 -3.2833 -0.8221
-5.4888 -5.4505 -4.6870
-3.9649 -8.8050 -2.0263
-2.8532 -3.9214 -4.4464
-4.0631 -2.1294 -0.4051
-1.3121 -6.6044 -5.1041
-2.5220 -4.8124 -1.0628
```

***

2.
Here is a relaxed KYC crystal from the Alexandria database. Energies are from PBE-GGA.

Results
As for the space-group type: P6_3/mmc. For the distance to the lowest polymorph of the same formula, the calculation gives 1481.2 meV per atom. Its energy of formation from the pure elements is 4.24 eV per formula unit.

Structure (POSCAR):
```
KYC
1.0
-6.3948 -1.2743 -2.0150
5.2619 -2.2602 -3.7123
0.0365 -7.1255 4.3901
Y K C
2 2 2
Cartesian
0.0091 -1.7814 1.0975
0.0274 -5.3441 3.2926
1.3855 -3.7129 -2.0490
-2.4819 -6.9470 0.7118
0.0000 0.0000 0.0000
0.0183 -3.5627 2.1950
```

***

3.
Here is a relaxed Ta4CuTc crystal from the Alexandria database. Energies are from PBE-GGA.

Results
As for the space-group type: F-43m. Its energy of formation from the pure elements is 3.41 eV per formula unit.

Structure (POSCAR):
```
Ta4CuTc
1.0
3.7053 -3.0736 -2.3079
1.4931 -4.5740 2.3135
-1.3871 -4.6716 -2.1807
Ta Cu Tc
4 1 1
Cartesian
3.2686 -6.1565 -1.9611
0.7470 -6.9478 -1.8981
2.1732 -6.8995 0.3273
1.4338 -4.6346 -0.8183
0.0000 0.0000 0.0000
2.8585 -9.2394 -1.6313
```

***

4.
Here is a relaxed LiFe2SbN crystal from the Alexandria database. Energies are from PBE-GGA.

Results
As for the space-group type: P4/mmm. The value obtained for the uncorrected formation energy is -92 meV/atom.

Structure (POSCAR):
```
LiFe2SbN
1.0
3.8842 0.0000 0.0000
0.0000 3.8842 0.0000
0.0000 0.0000 4.1083
Sb Li Fe N
1 1 2 1
Cartesian
1.9421 1.9421 2.0542
0.0000 0.0000 2.0542
0.0000 1.9421 0.0000
1.9421 0.0000 0.0000
0.0000 0.0000 0.0000
```

***

5.
Here is a relaxed LiFeAu crystal from the Alexandria database. Energies are from PBE-GGA.

Results
As for the space-group type: F-43m. Its energy of formation from the pure elements is 0.73 eV per formula unit.

Structure (POSCAR):
```
LiFeAu
1.0
4.2393 0.0000 0.0000
2.1197 3.6713 0.0000
2.1197 1.2238 3.4614
Au Fe Li
1 1 1
Cartesian
2.1197 1.2238 0.8653
0.0000 0.0000 0.0000
4.2393 2.4476 1.7307
```

***

6.
Here is a relaxed Na3AsH18Se4O9 crystal from the Alexandria database. Energies are from PBE-GGA.

Results
As for the space-group type: P2_13.

Structure (POSCAR):
```
Na3AsH18Se4O9
1.0
12.2334 0.0000 0.0000
0.0000 12.2334 0.0000
0.0000 0.0000 12.2334
Na As H Se O
12 4 72 16 36
Cartesian
4.9249 1.1918 11.0416
1.1918 11.0416 4.9249
11.0416 4.9249 1.1918
7.3085 7.3085 7.3085
6.7880 11.5621 0.6713
11.5621 0.6713 6.7880
0.6713 6.7880 11.5621
3.5046 3.5046 3.5046
5.4454 5.4454 5.4454
9.6214 2.6121 8.7288
2.6121 8.7288 9.6214
8.7288 9.6214 2.6121
5.7541 11.8709 6.4793
6.4793 5.7541 11.8709
11.8709 6.4793 5.7541
0.3626 0.3626 0.3626
5.5419 8.5626 10.4472
11.6586 9.7875 1.7862
6.6916 2.4459 7.9029
9.7875 1.7862 11.6586
7.9029 6.6916 2.4459
1.7862 11.6586 9.7875
8.5626 10.4472 5.5419
10.4472 5.5419 8.5626
2.4459 7.9029 6.6916
3.6708 4.3305 0.5748
4.3305 0.5748 3.6708
0.5748 3.6708 4.3305
5.5051 9.6580 9.3486
11.6218 8.6921 2.8848
6.7284 3.5413 9.0015
8.6921 2.8848 11.6218
9.0015 6.7284 3.5413
2.8848 11.6218 8.6921
9.6580 9.3486 5.5051
9.3486 5.5051 9.6580
3.5413 9.0015 6.7284
2.5754 3.2319 0.6116
3.2319 0.6116 2.5754
0.6116 2.5754 3.2319
3.9961 2.9312 6.4904
10.1128 3.1855 5.7430
8.2373 9.0479 11.8597
3.1855 5.7430 10.1128
11.8597 8.2373 9.0479
5.7430 10.1128 3.1855
2.9312 6.4904 3.9961
6.4904 3.9961 2.9312
9.0479 11.8597 8.2373
9.3022 0.3737 2.1206
2.3741 1.0803 6.3172
0.3737 2.1206 9.3022
2.9764 4.1167 6.2504
9.0931 2.0000 5.9830
9.2570 10.2334 12.0997
2.0000 5.9830 9.0931
12.0997 9.2570 10.2334
5.9830 9.0931 2.0000
4.1167 6.2504 2.9764
6.2504 2.9764 4.1167
10.2334 12.0997 9.2570
8.1167 0.1337 3.1403
0.1337 3.1403 8.1167
3.1403 8.1167 0.1337
7.0679 7.6195 4.3682
0.9512 10.7306 7.8652
5.1655 1.5028 1.7485
10.7306 7.8652 0.9512
1.7485 5.1655 1.5028
7.8652 0.9512 10.7306
7.6195 4.3682 7.0679
4.3682 7.0679 7.6195
1.5028 1.7485 5.1655
4.6139 10.4850 11.2822
10.4850 11.2822 4.6139
11.2822 4.6139 10.4850
5.9162 8.4908 5.0364
12.0329 9.8593 7.1970
6.3172 2.3741 1.0803
9.8593 7.1970 12.0329
1.0803 6.3172 2.3741
7.1970 12.0329 9.8593
8.4908 5.0364 5.9162
5.0364 5.9162 8.4908
0.2005 3.7426 11.1531
11.1531 0.2005 3.7426
3.7426 11.1531 0.2005
2.1206 9.3022 0.3737
7.8389 7.1218 10.5106
7.1218 10.5106 7.8389
10.5112 5.1116 4.3939
5.1116 4.3939 10.5112
4.3945 1.0051 7.8395
1.7222 11.2283 1.7228
11.2283 1.7228 1.7222
1.7228 1.7222 11.2283
0.9878 5.1289 7.1045
5.1289 7.1045 0.9878
7.1045 0.9878 5.1289
11.2457 11.2457 11.2457
7.8395 4.3945 1.0051
10.5106 7.8389 7.1218
4.3939 10.5112 5.1116
1.0051 7.8395 4.3945
4.9484 9.2463 10.0624
11.0651 9.1039 2.1710
7.2850 3.1296 8.2877
9.1039 2.1710 11.0651
8.2877 7.2850 3.1296
2.1710 11.0651 9.1039
9.2463 10.0624 4.9484
10.0624 4.9484 9.2463
3.1296 8.2877 7.2850
2.9872 3.9457 1.1683
3.9457 1.1683 2.9872
1.1683 2.9872 3.9457
3.8080 3.7067 5.9053
9.9247 2.4101 6.3281
8.4254 9.8234 0.2114
2.4101 6.3281 9.9247
0.2114 8.4254 9.8234
6.3281 9.9247 2.4101
3.7067 5.9053 3.8080
5.9053 3.8080 3.7067
9.8234 0.2114 8.4254
8.5268 12.0220 2.3087
12.0220 2.3087 8.5268
2.3087 8.5268 12.0220
6.4409 7.6643 5.1387
0.3242 10.6859 7.0947
5.7925 1.5476 0.9780
10.6859 7.0947 0.3242
0.9780 5.7925 1.5476
7.0947 0.3242 10.6859
7.6643 5.1387 6.4409
5.1387 6.4409 7.6643
1.5476 0.9780 5.7925
4.5691 11.2554 11.9093
11.2554 11.9093 4.5691
11.9093 4.5691 11.2554
```

***

7.
Here is a relaxed La2Pm7Dy2 crystal from the Alexandria database. Energies are from PBE-GGA.

Results
As for the space-group type: C2/m. For the distance to the lowest polymorph of the same formula, the calculation gives 0.0 meV per atom. Its energy of formation from the pure elements is 1.57 eV per formula unit.

Structure (POSCAR):
```
La2Pm7Dy2
1.0
-4.3985 0.5464 -7.6553
-2.7774 -3.0721 4.5076
-5.6634 4.6239 4.9794
La Pm Dy
2 7 2
Cartesian
-7.7388 1.0832 5.9421
-5.1004 1.0150 -4.1103
-2.5859 -0.1192 -2.0640
-4.7969 -0.5864 5.3469
-10.2534 2.2174 3.8957
-8.0424 2.6847 -3.5151
-5.9198 1.1760 -0.7182
0.0000 0.0000 0.0000
-6.9194 0.9222 2.5500
-9.2252 2.4908 0.1697
-3.6140 -0.3926 1.6620
```

***

8.
Here is a relaxed Ca3SbP crystal from the Alexandria database. Energies are from PBE-GGA.

Results
As for the space-group type: R3c. For the distance to the lowest polymorph of the same formula, the calculation gives 33.2 meV per atom. The value obtained for the uncorrected formation energy is -1061 meV/atom.

Structure (POSCAR):
```
Ca3SbP
1.0
4.4311 0.0000 6.1814
-2.2155 3.8374 6.1814
-2.2155 -3.8374 6.1814
Sb Ca P
2 6 2
Cartesian
0.0000 0.0000 4.9247
0.0000 0.0000 14.1968
-2.3291 0.7047 10.6127
-0.4407 2.1727 7.5220
-1.6612 -1.4680 7.5220
2.1020 -0.7047 7.5220
1.7748 1.6648 10.6127
0.5543 -2.3694 10.6127
0.0000 0.0000 18.5308
0.0000 0.0000 9.2587
```

***

9.
Here is a relaxed Ta2VAu crystal from the Alexandria database. Energies are from PBE-GGA.

Results
As for the space-group type: C2/m. For the distance to the lowest polymorph of the same formula, the calculation gives 7.4 meV per atom. Its energy of formation from the pure elements is -0.06 eV per formula unit.

Structure (POSCAR):
```
Ta2VAu
1.0
-0.5839 0.1106 3.2121
-4.7138 -1.2677 -2.4726
6.0696 -6.7119 1.3366
Ta V Au
4 2 2
Cartesian
2.7875 -5.0242 0.6823
-2.0155 -2.8449 1.3938
1.1109 -3.1366 1.9731
-0.3389 -4.7325 0.1030
-0.0314 -1.6203 0.0508
0.8034 -6.2488 2.0252
4.2376 -6.5686 2.6595
-3.4656 -1.3004 -0.5834
```

***

10.
Here is a relaxed Y4AgCl crystal from the Alexandria database. Energies are from PBE-GGA.

Results
As for the space-group type: F-43m. The value obtained for the uncorrected formation energy is 392 meV/atom.

Structure (POSCAR):
```
Y4AgCl
1.0
0.0000 4.5560 4.5560
4.5560 0.0000 4.5560
4.5560 4.5560 0.0000
Y Ag Cl
4 1 1
Cartesian
3.4276 5.6843 5.6843
5.6843 5.6843 3.4276
5.6843 3.4276 5.6843
3.4276 3.4276 3.4276
6.8340 6.8340 6.8340
0.0000 0.0000 0.0000
```

***

11.
Here is a relaxed Ac4BiPb2N2 crystal from the Alexandria database. Energies are from PBE-GGA.

Results
As for the space-group type: C2/m. The value obtained for the uncorrected formation energy is -811 meV/atom.

Structure (POSCAR):
```
Ac4BiPb2N2
1.0
4.5347 0.0000 0.0000
0.0000 9.8926 -0.8054
-2.2673 -4.7497 8.0355
Ac Bi Pb N
4 1 2 2
Cartesian
0.0000 -0.9083 3.5788
2.2673 6.0512 3.6513
2.2673 7.4635 -0.2053
0.0000 -2.3207 7.4353
0.0000 0.0000 0.0000
0.0000 4.7093 1.0656
2.2673 0.4335 6.1644
2.2673 7.9334 2.1042
0.0000 -2.7905 5.1259
```

***

12.
Here is a relaxed TbNdYTl crystal from the Alexandria database. Energies are from PBE-GGA.

Results
As for the space-group type: F-43m. For the distance to the lowest polymorph of the same formula, the calculation gives 138.7 meV per atom. Its energy of formation from the pure elements is -0.22 eV per formula unit.

Structure (POSCAR):
```
TbNdYTl
1.0
5.5408 0.0000 0.0000
2.7704 4.7985 0.0000
2.7704 1.5995 4.5240
Y Nd Tl Tb
1 1 1 1
Cartesian
8.3112 4.7985 3.3930
2.7704 1.5995 1.1310
0.0000 0.0000 0.0000
5.5408 3.1990 2.2620
```

***

no.,DFT total energy (eV per atom)
1,-4.200
2,-4.180
3,-9.744
4,-6.349
5,-4.309
6,-4.623
7,-4.613
8,-4.168
9,-9.040
10,-4.701
11,-5.742
12,-4.611